1.
DFT (PBE-GGA) results for crystalline Rb2LaSb2S6 at its relaxed geometry.

Values from the calculation:
Space group: C2/m, No. 12
E_form (uncorrected) in eV per atom: -0.890

abc: 7.5666 7.2592 8.9004
angles: 112.89 90.00 121.41
Closest atoms and distances in Å follow each position.
Atoms (fractional coordinates):
S 0.7468 0.4935 0.5702  1 Sb 2.40
S 0.3136 0.1141 0.7815  1 Sb 2.41
S 0.6864 0.8859 0.2185  1 Sb 2.41
S 0.1994 0.8859 0.2185  1 Sb 2.41
S 0.8006 0.1141 0.7815  1 Sb 2.41
S 0.2532 0.5065 0.4298  1 Sb 2.40
Sb 0.9482 0.8964 0.7998  3 S 2.40-2.41
Sb 0.0518 0.1036 0.2002  3 S 2.40-2.41
Rb 0.6989 0.3978 0.1673  5 S 3.36-3.57
Rb 0.3011 0.6022 0.8327  5 S 3.36-3.57
La 0.5000 0.0000 0.5000  6 S 2.83-2.93


2.
DFT (PBE-GGA) results for crystalline BeTl4Tc at its relaxed geometry.

Values from the calculation:
Space group: F-43m, No. 216
ΔE_f in eV/f.u.: 7.51

abc: 6.1627 6.1627 6.1627
angles: 60.00 60.00 60.00
Closest atoms and distances in Å follow each position.
Atoms (fractional coordinates):
Tc 0.0000 0.0000 0.0000  12 Tl 3.61, 4 Be 3.77
Tl 0.3749 0.8752 0.3749  6 Tl 3.08
Tl 0.3749 0.3749 0.3749  6 Tl 3.08
Tl 0.3749 0.3749 0.8752  6 Tl 3.08
Tl 0.8752 0.3749 0.3749  6 Tl 3.08
Be 0.7500 0.7500 0.7500  12 Tl 3.61, 4 Tc 3.77


3.
DFT (PBE-GGA) results for crystalline La8CuIr5 at its relaxed geometry.

Values from the calculation:
Space group: I-4, No. 82
ΔE_f in eV/f.u.: -8.84

abc: 7.8407 7.8407 7.8407
angles: 109.16 110.10 109.16
Closest atoms and distances in Å follow each position.
Atoms (fractional coordinates):
La 0.2411 0.2460 0.3642  2 Ir 2.86-2.88, 1 Cu 2.99
La 0.1182 0.7540 0.9951  2 Ir 2.86-2.88, 1 Cu 2.99
La 0.7320 0.2455 0.3700  3 Ir 2.87-2.93
La 0.6358 0.8770 0.8818  2 Ir 2.86-2.88, 1 Cu 2.99
La 0.1245 0.7545 0.4864  3 Ir 2.87-2.93
La 0.5136 0.6380 0.2680  3 Ir 2.87-2.93
La 0.6300 0.3620 0.8755  3 Ir 2.87-2.93
La 0.0049 0.1230 0.7589  2 Ir 2.86-2.88, 1 Cu 2.99
Ir 0.7435 0.6204 0.6298  4 La 2.86-2.93
Ir 0.8768 0.8863 0.2565  4 La 2.86-2.93
Ir 0.0094 0.3796 0.1232  4 La 2.86-2.93
Ir 0.3702 0.1137 0.9906  4 La 2.86-2.93
Ir 0.5000 0.0000 0.5000  4 La 2.88
Cu 0.2500 0.5000 0.7500  4 La 2.99


4.
DFT (PBE-GGA) results for crystalline PmSb2P2Pt7 at its relaxed geometry.

Values from the calculation:
Space group: C2/m, No. 12
E_form (uncorrected) in eV per atom: -0.645

abc: 3.9944 3.9944 15.1198
angles: 82.47 82.47 90.00
Closest atoms and distances in Å follow each position.
Atoms (fractional coordinates):
Pt 0.4242 0.9245 0.1532  2 P 2.38
Pt 0.3031 0.3031 0.3948  1 P 2.30
Pt 0.5758 0.0755 0.8468  2 P 2.38
Pt 0.6969 0.6969 0.6052  1 P 2.30
Pt 0.5000 0.5000 0.0000  4 Pm 2.82, 8 Pt 3.03
Pt 0.9245 0.4242 0.1532  2 P 2.38
Pt 0.0755 0.5758 0.8468  2 P 2.38
P 0.3816 0.3816 0.2399  5 Pt 2.30-2.38
P 0.6184 0.6184 0.7601  5 Pt 2.30-2.38
Pm 0.0000 0.0000 0.0000  12 Pt 2.82-3.03
Sb 0.7887 0.7887 0.4233  5 Pt 2.70-2.86
Sb 0.2113 0.2113 0.5767  5 Pt 2.70-2.86